1.
NdNi, optimized geometry, DFT PBE; energy of formation from the pure elements = 36 meV per atom
1.0
-0.570 2.545 -2.418
-2.751 -1.519 1.666
0.204 2.745 2.841
Nd Ni
1 1
direct
0.667 0.333 0.750
0.333 0.667 0.250


2.
YHf2Co2, optimized geometry, DFT PBE; energy of formation from the pure elements = -264 meV per atom
1.0
5.236 2.497 1.347
0.038 5.799 1.357
-3.071 -4.840 1.617
Co Hf Y
2 2 1
direct
0.610 0.610 0.000
0.390 0.390 0.000
0.250 0.750 0.500
0.750 0.250 0.500
0.000 0.000 0.000


3.
Cs2PdSe3, optimized geometry, DFT PBE; offset from the most stable computed form = 0 meV/atom
1.0
-3.327 -2.389 -7.215
2.284 -7.819 -1.572
-5.239 -2.160 3.131
Se Cs Pd
6 4 2
direct
0.369 0.369 0.500
0.369 0.369 0.000
0.631 0.631 0.000
0.631 0.631 0.500
0.167 0.833 0.750
0.833 0.167 0.250
0.988 0.309 0.750
0.691 0.012 0.750
0.309 0.988 0.250
0.012 0.691 0.250
0.566 0.434 0.250
0.434 0.566 0.750


4.
Sc4CoSN2, optimized geometry, DFT PBE; offset from the most stable computed form = 0 meV/atom
1.0
3.266 0.000 0.000
-1.633 2.829 0.000
0.000 0.000 12.284
Sc Co N S
4 1 2 1
direct
0.667 0.333 0.151
0.667 0.333 0.849
0.000 0.000 0.354
0.000 0.000 0.646
0.000 0.000 0.000
0.333 0.667 0.263
0.333 0.667 0.737
0.667 0.333 0.500